Record 1
DFT (GGA-PBE) results for a relaxed structure of Tb3PtAu2.

a b c (Å): 8.004 8.004 7.194
angles (deg): 90.00 90.00 143.29
Sites, in units of the cell vectors:
Tb (0.000, 0.000, 0.246)
Tb (0.000, 0.000, 0.754)
Tb (0.330, 0.670, 0.241)
Tb (0.330, 0.670, 0.759)
Tb (0.670, 0.330, 0.241)
Tb (0.670, 0.330, 0.759)
Pt (0.160, 0.840, 0.000)
Pt (0.840, 0.160, 0.000)
Au (0.168, 0.832, 0.500)
Au (0.500, 0.500, 0.000)
Au (0.500, 0.500, 0.500)
Au (0.832, 0.168, 0.500)

Output
- Energy above the lowest structure with this stoichiometry: 0 meV/atom
- Volume: 275 Å³/cell
- Crystal system: orthorhombic



Record 2
DFT (GGA-PBE) results for a relaxed structure of MgAu2Br.

a b c (Å): 6.452 6.452 6.452
angles (deg): 99.87 99.87 131.09
Sites, in units of the cell vectors:
Mg (0.000, 0.000, 0.000)
Mg (0.750, 0.250, 0.500)
Au (0.101, 0.625, 0.976)
Au (0.375, 0.351, 0.476)
Au (0.649, 0.125, 0.024)
Au (0.875, 0.899, 0.524)
Br (0.250, 0.750, 0.500)
Br (0.500, 0.500, 0.000)

Output
- Energy relative to the elements, uncorrected: -0.186 eV per atom
- Energy above the lowest structure with this stoichiometry: 340 meV/atom
- Volume: 184 Å³/cell
- Crystal system: tetragonal



Record 3
DFT (GGA-PBE) results for a relaxed structure of Tm6Tl2O.

a b c (Å): 6.521 6.596 12.292
angles (deg): 90.00 122.03 90.00
Sites, in units of the cell vectors:
Tm (0.173, 0.192, 0.488)
Tm (0.173, 0.308, 0.988)
Tm (0.295, 0.519, 0.749)
Tm (0.295, 0.981, 0.249)
Tm (0.296, 0.686, 0.487)
Tm (0.296, 0.814, 0.987)
Tm (0.704, 0.186, 0.013)
Tm (0.704, 0.314, 0.513)
Tm (0.705, 0.019, 0.751)
Tm (0.705, 0.481, 0.251)
Tm (0.827, 0.692, 0.012)
Tm (0.827, 0.808, 0.512)
Tl (0.211, 0.051, 0.750)
Tl (0.211, 0.449, 0.250)
Tl (0.789, 0.551, 0.750)
Tl (0.789, 0.949, 0.250)
O (0.000, 0.000, 0.000)
O (0.000, 0.500, 0.500)

Output
- Energy relative to the elements, uncorrected: -0.756 eV per atom
- Volume: 448 Å³/cell
- Crystal system: monoclinic



Q: Number 1 is which compound?
A: Tb3PtAu2



Q: Which formula does entry 1 have?
A: Tb3PtAu2



Q: Which of these has the lowest volume?
A: MgAu2Br